# 1
DFT (GGA-PBE) results for a relaxed LiPu2PaTe4 crystal.

Cell lengths 4.3190, 7.7249, 7.5169 Å; angles 108.95, 90.00, 90.00 degrees
Closest atoms and distances in Å follow each position.
Sites, in units of the cell vectors:
Li 0.0000 0.0000 0.0000  6 Te 3.03
Pu 0.5000 0.0000 0.5000  6 Te 3.10-3.13
Pu 0.0000 0.5000 0.5000  6 Te 3.16-3.17
Pa 0.5000 0.5000 0.0000  6 Te 3.07-3.09
Te 0.0000 0.7552 0.2435  1 Li 3.03, 2 Pa 3.09, 3 Pu 3.10-3.17
Te 0.0000 0.2448 0.7565  1 Li 3.03, 2 Pa 3.09, 3 Pu 3.10-3.17
Te 0.5000 0.7579 0.7635  2 Li 3.03, 1 Pa 3.07, 3 Pu 3.13-3.16
Te 0.5000 0.2421 0.2365  2 Li 3.03, 1 Pa 3.07, 3 Pu 3.13-3.16

Calculated values
Its space-group type is No. 10. As for the density of states at the Fermi level: 3.74 states/eV/atom. For the spin magnetization, the calculation gives 0.1408 μB per atom. Its formation energy without anion corrections is -0.933 eV per atom. As for the total energy: -7.513 eV/atom.



# 2
DFT (GGA-PBE) results for a relaxed TbHoIn2 crystal.

Cell lengths 5.3158, 5.3154, 5.3153 Å; angles 60.00, 60.00, 60.00 degrees
Closest atoms and distances in Å follow each position.
Sites, in units of the cell vectors:
In 0.5000 0.5000 0.5000  4 Ho 3.25-3.26, 4 Tb 3.25-3.26
In 0.0000 0.0000 0.0000  4 Ho 3.25-3.26, 4 Tb 3.25-3.26
Tb 0.7500 0.7500 0.7500  8 In 3.25-3.26
Ho 0.2500 0.2500 0.2500  8 In 3.25-3.26

Calculated values
Its space-group type is No. 225. As for the density of states at the Fermi level: 0.44 states/eV/atom. The calculation puts the calculated formation energy at -0.4651 eV per atom. For the spin magnetization, the calculation gives 0.0000 μB per atom. As for the total energy: -4.136 eV/atom.



# 3
DFT (GGA-PBE) results for a relaxed TaIn2Ir crystal.

Cell lengths 4.5996, 3.0131, 5.4867 Å; angles 82.38, 90.00, 90.00 degrees
Closest atoms and distances in Å follow each position.
Sites, in units of the cell vectors:
In 0.0000 0.0891 0.0056  2 Ir 2.74, 4 In 2.84-3.01, 2 Ta 2.95
In 0.0000 0.4109 0.4944  2 Ir 2.74, 4 In 2.84-3.01, 2 Ta 2.95
Ir 0.5000 0.2500 0.2500  4 In 2.74, 2 Ta 2.95, 2 Ir 3.01
Ta 0.5000 0.7500 0.7500  8 In 2.95-3.24, 2 Ir 2.95, 2 Ta 3.01

Calculated values
Its space-group type is No. 10. As for the density of states at the Fermi level: 0.64 states/eV/atom. The relative energy among the computed polymorphs comes out at 325 meV/atom. The calculation puts the calculated formation energy at 0.1975 eV per atom. For the spin magnetization, the calculation gives 0.0000 μB per atom. As for the total energy: -6.350 eV/atom.



# 4
DFT (GGA-PBE) results for a relaxed ZrCu2Ag crystal.

Cell lengths 4.2762, 2.9446, 5.3930 Å; angles 73.92, 90.00, 90.00 degrees
Closest atoms and distances in Å follow each position.
Sites, in units of the cell vectors:
Cu 0.5000 0.0629 0.2481  2 Cu 2.50, 2 Ag 2.78
Cu 0.0000 0.1897 0.9991  2 Cu 2.50, 1 Zr 2.79
Ag 0.5000 0.7918 0.7927  7 Cu 2.78-2.82, 2 Ag 2.94, 2 Zr 3.11
Zr 0.0000 0.4556 0.4601  7 Cu 2.79-2.82, 2 Zr 2.94, 4 Ag 3.11-3.12

Calculated values
Its space-group type is No. 6. As for the density of states at the Fermi level: 0.58 states/eV/atom. The relative energy among the computed polymorphs comes out at 89 meV/atom. The calculation puts the calculated formation energy at 0.0190 eV per atom. For the spin magnetization, the calculation gives 0.0000 μB per atom. As for the total energy: -4.879 eV/atom.



# 5
DFT (GGA-PBE) results for a relaxed SrLi3Tc crystal.

Cell lengths 4.5809, 4.5809, 4.5809 Å; angles 90.00, 90.00, 90.00 degrees
Closest atoms and distances in Å follow each position.
Sites, in units of the cell vectors:
Tc 0.5000 0.5000 0.5000  12 Li 3.24
Sr 0.0000 0.0000 0.0000  6 Li 2.29
Li 0.0000 0.5000 0.0000  2 Sr 2.29
Li 0.0000 0.0000 0.5000  2 Sr 2.29
Li 0.5000 0.0000 0.0000  2 Sr 2.29

Calculated values
Its space-group type is No. 221. As for the density of states at the Fermi level: 0.00 states/eV/atom. The relative energy among the computed polymorphs comes out at 884 meV/atom. The calculation puts the calculated formation energy at 1.6176 eV per atom. For the spin magnetization, the calculation gives 0.0000 μB per atom. As for the total energy: -1.940 eV/atom.



# 6
DFT (GGA-PBE) results for a relaxed MnCoTcHOs crystal.

Cell lengths 2.8276, 2.8276, 6.7757 Å; angles 90.00, 90.00, 90.00 degrees
Closest atoms and distances in Å follow each position.
Sites, in units of the cell vectors:
H 0.5000 0.5000 0.8604  1 Co 1.77
Tc 0.0000 0.0000 0.8670  4 H 2.00
Co 0.5000 0.5000 0.5990  1 H 1.77
Mn 0.0000 0.0000 0.3952  4 Co 2.43, 4 Os 2.57
Os 0.5000 0.5000 0.1567  1 H 2.01

Calculated values
Its space-group type is No. 99. As for the density of states at the Fermi level: 0.78 states/eV/atom. The relative energy among the computed polymorphs comes out at 102 meV/atom. For the spin magnetization, the calculation gives 0.8217 μB per atom. As for the total energy: -8.139 eV/atom.



# 7
DFT (GGA-PBE) results for a relaxed SrAg3Sn crystal.

Cell lengths 5.6703, 9.6169, 7.3802 Å; angles 130.66, 112.59, 90.00 degrees
Closest atoms and distances in Å follow each position.
Sites, in units of the cell vectors:
Ag 0.2511 0.2511 0.0022  2 Sn 2.79, 4 Ag 2.84-2.91
Ag 0.2489 0.7489 0.9978  2 Sn 2.79, 4 Ag 2.84-2.91
Ag 0.7500 0.0803 0.5000  6 Ag 2.91-3.23, 2 Sn 2.91
Ag 0.7489 0.7489 0.9978  2 Sn 2.79, 4 Ag 2.84-2.91
Ag 0.7511 0.2511 0.0022  2 Sn 2.79, 4 Ag 2.84-2.91
Ag 0.2500 0.9197 0.5000  6 Ag 2.91-3.23, 2 Sn 2.91
Sr 0.2500 0.2832 0.5000  7 Ag 3.44-3.50, 4 Sn 3.74
Sr 0.7500 0.7168 0.5000  7 Ag 3.44-3.50, 4 Sn 3.74
Sn 0.5000 0.0000 0.0000  6 Ag 2.79-2.91
Sn 0.0000 0.5000 0.0000  6 Ag 2.79-2.91

Calculated values
Its space-group type is No. 74. As for the density of states at the Fermi level: 0.51 states/eV/atom. The relative energy among the computed polymorphs comes out at 45 meV/atom. The calculation puts the calculated formation energy at -0.1923 eV per atom. For the spin magnetization, the calculation gives 0.0000 μB per atom. As for the total energy: -3.040 eV/atom.



# 8
DFT (GGA-PBE) results for a relaxed PrUOs2 crystal.

Cell lengths 3.3995, 3.3995, 7.3231 Å; angles 90.00, 90.00, 90.00 degrees
Closest atoms and distances in Å follow each position.
Sites, in units of the cell vectors:
Os 0.0000 0.0000 0.1985  4 U 2.81, 1 Os 2.91
Os 0.0000 0.0000 0.8015  4 U 2.81, 1 Os 2.91
Pr 0.5000 0.5000 0.5000  8 Os 3.26, 4 Pr 3.40
U 0.5000 0.5000 0.0000  8 Os 2.81

Calculated values
Its space-group type is No. 123. As for the density of states at the Fermi level: 1.17 states/eV/atom. The calculation puts the calculated formation energy at -0.0183 eV per atom. For the spin magnetization, the calculation gives 0.0000 μB per atom. As for the total energy: -9.650 eV/atom.



Question: Which value of spin magnetization does entry 8 give?
Answer: 0.0000 μB per atom



Question: Look up the spin magnetization of the third one.
Answer: 0.0000 μB per atom